Entry 1:
Below is a relaxed NdTaS4 crystal, with properties calculated at the PBE level.

Cell and atoms, written as POSCAR:
```
NdTaS4
1.0
0.996 -7.241 -2.193
-1.990 1.502 7.212
-5.866 2.503 -4.189
Nd Ta S
2 2 8
Cartesian
-0.497 -2.869 2.509 Nd
-4.177 0.568 2.766 Nd
-2.684 -3.803 -1.936 Ta
0.000 0.000 0.000 Ta
-3.003 -1.989 3.769 S
-3.984 -1.977 -2.300 S
-2.725 1.676 5.070 S
-1.670 -0.312 1.507 S
-5.755 -1.271 1.101 S
-1.948 -3.977 0.205 S
-6.556 2.178 3.387 S
-4.786 1.472 -0.014 S
```

Calculated values
E_form (uncorrected): -1.344 eV per atom
Polymorph energy (0 for the lowest one): 0.0 meV per atom
Theoretical density: 4.51 g/cm3

=====

Entry 2:
Below is a relaxed Li4CaPu3O12 crystal, with properties calculated at the PBE level.

Cell and atoms, written as POSCAR:
```
Li4CaPu3O12
1.0
6.962 -0.170 -0.236
-1.843 6.716 -0.236
-1.843 -2.356 6.294
Li Ca Pu O
4 1 3 12
Cartesian
5.474 -0.905 2.910 Li
-2.197 1.143 5.755 Li
1.638 6.046 0.066 Li
1.638 2.095 2.910 Li
0.000 0.000 0.000 Ca
3.073 2.872 -0.236 Pu
2.047 -1.391 3.409 Pu
-1.843 2.709 2.648 Pu
1.638 0.596 3.989 O
5.111 2.957 0.335 O
-1.835 4.811 2.910 O
1.638 -1.484 5.486 O
0.173 5.836 1.238 O
-0.700 0.005 5.927 O
5.622 0.674 1.886 O
3.104 4.868 -0.107 O
-2.346 2.615 4.583 O
3.977 -1.430 3.935 O
3.093 2.456 1.832 O
0.184 3.232 2.910 O
```

Calculated values
E_form (uncorrected): -2.370 eV per atom
Theoretical density: 5.79 g/cm3

=====

Entry 3:
Below is a relaxed CaPrSc2 crystal, with properties calculated at the PBE level.

Cell and atoms, written as POSCAR:
```
CaPrSc2
1.0
5.561 0.000 0.000
2.780 4.816 0.000
2.780 1.605 4.540
Pr Sc Ca
1 2 1
Cartesian
0.000 0.000 0.000 Pr
2.780 1.605 1.135 Sc
8.341 4.816 3.405 Sc
5.561 3.210 2.270 Ca
```

Calculated values
Polymorph energy (0 for the lowest one): 39.3 meV per atom
Energy relative to the elements: 19 kJ per mole of atoms
Theoretical density: 3.70 g/cm3

=====

Entry 4:
Below is a relaxed K2UO6 crystal, with properties calculated at the PBE level.

Cell and atoms, written as POSCAR:
```
K2UO6
1.0
-1.778 -2.894 -1.901
1.488 -4.220 5.032
-5.585 3.631 0.191
K U O
2 1 6
Cartesian
-2.076 -3.605 2.097 K
-3.798 0.122 1.225 K
0.000 0.000 0.000 U
-1.161 -1.030 1.335 O
-5.589 0.029 -0.973 O
-4.713 -2.453 1.987 O
-0.578 -2.328 0.100 O
-0.286 -3.512 4.295 O
0.289 -4.786 3.031 O
```

Calculated values
E_form (uncorrected): -1.719 eV per atom
Theoretical density: 4.55 g/cm3